[1]
DFT (PBE-GGA) results for crystalline Sr2Ga3Cu6 at its relaxed geometry.

The structure belongs to space group P-62m (No. 189); the cell edges are 7.3637, 7.3637 and 4.3207 Å and the angles 90.00°, 90.00° and 120.00°. The inequivalent atoms are Sr at (0.3333, 0.6667, 0.0000), Ga at (0.0000, 0.6168, 0.5000), Cu at (0.0000, 0.2511, 0.5000) and Cu at (0.0000, 0.8075, 0.0000).

The value obtained for the energy relative to the elements is -122.3 kJ/mol of formula units. The electronic total energy is -38.3 eV/cell. Its crystal system is hexagonal. The calculation puts the calculated volume at 202.9 Å³/cell.

=====

[2]
DFT (PBE-GGA) results for crystalline Sr2Ga7Cu12 at its relaxed geometry.

The structure belongs to space group P-6 (No. 174); the cell edges are 9.6757, 9.6757 and 4.0968 Å and the angles 90.00°, 90.00° and 120.00°. The inequivalent atoms are Sr at (0.0000, 0.0000, 0.0000), Sr at (0.3333, 0.6667, 0.5000), Ga at (0.0311, 0.5481, 0.0000), Ga at (0.2883, 0.0195, 0.5000), Ga at (0.6667, 0.3333, 0.0000), Cu at (0.0271, 0.7432, 0.5000), Cu at (0.1500, 0.3685, 0.0000), Cu at (0.3695, 0.1907, 0.0000) and Cu at (0.5516, 0.3955, 0.5000).

The value obtained for the energy relative to the elements is -341.9 kJ/mol of formula units. The electronic total energy is -77.2 eV/cell. Its crystal system is hexagonal. The calculation puts the calculated volume at 332.2 Å³/cell.